The following is a DFT calculation (GGA-PBE) of a relaxed structure of TlIn4Bi4.

Properties
* total magnetic moment: 0.0 μB per formula unit
* energy above the most stable polymorph in this dataset: 0.019 eV per atom
* symmetry: P4_2/nmc, No. 137
* formation energy: 0.07 eV/atom

Geometry as POSCAR:
```
TlIn4Bi4
1.0
8.5917 0.0000 0.0000
0.0000 8.5917 0.0000
0.0000 0.0000 8.4184
Tl In Bi
2 8 8
Cartesian
0.0000 0.0000 0.0000 Tl
4.2959 4.2959 4.2092 Tl
2.1838 4.2959 7.0939 In
6.4079 4.2959 7.0939 In
4.2959 6.4079 1.3245 In
4.2959 2.1838 1.3245 In
0.0000 6.4797 2.8847 In
0.0000 2.1121 2.8847 In
2.1121 0.0000 5.5338 In
6.4797 0.0000 5.5338 In
4.2959 6.6561 6.7223 Bi
4.2959 1.9356 6.7223 Bi
6.6561 4.2959 1.6962 Bi
1.9356 4.2959 1.6962 Bi
2.3603 0.0000 2.5131 Bi
6.2315 0.0000 2.5131 Bi
0.0000 2.3603 5.9054 Bi
0.0000 6.2315 5.9054 Bi
```

The following is a DFT calculation (GGA-PBE) of a relaxed structure of MgMoRh4.

Properties
* total magnetic moment: 0.0 μB per formula unit
* energy above the most stable polymorph in this dataset: 0.178 eV per atom
* symmetry: F-43m, No. 216
* formation energy: 0.03 eV/atom

Geometry as POSCAR:
```
MgMoRh4
1.0
0.0000 3.6089 3.6089
3.6089 0.0000 3.6089
3.6089 3.6089 0.0000
Mg Mo Rh
1 1 4
Cartesian
5.4133 5.4133 5.4133 Mg
0.0000 0.0000 0.0000 Mo
4.5093 2.7084 4.5093 Rh
2.7084 4.5093 4.5093 Rh
4.5093 4.5093 2.7084 Rh
2.7084 2.7084 2.7084 Rh
```